Compound: SrFe2P
Source: the Alexandria database
Functional: GGA-PBE
Structure: optimized geometry

Cell and atoms, written as POSCAR:
```
SrFe2P
1.0
3.960 -0.002 0.011
1.982 3.428 0.011
1.962 1.131 5.440
Fe P Sr
2 1 1
Direct
0.942 0.942 0.175
0.249 0.249 0.252
0.559 0.559 0.322
0.750 0.750 0.751
```

The final energy comes out at -6.343 eV/atom. As for the formation energy: -0.339 eV per atom. Its magnetization is 3.035 μB/cell.